No. 1
# MnBe2Ir

An optimized crystal structure of MnBe2Ir (PBE, Alexandria via LeMat-Bulk).

Geometry as POSCAR:
```
MnBe2Ir
1.0
-3.093 -1.420 2.034
0.592 -1.967 3.392
-1.028 1.652 3.455
Be Mn Ir
2 1 1
Cartesian
-0.882 -0.434 2.220
0.000 0.000 0.000
-2.647 -1.302 6.661
-1.764 -0.868 4.441
```

Results
formation enthalpy at 0 K: -0.1830 eV/atom
SG: F-43m
total magnetic moment: 2.0 μB/f.u.

No. 2
# MnBeIr

An optimized crystal structure of MnBeIr (PBE, Alexandria via LeMat-Bulk).

Geometry as POSCAR:
```
MnBeIr
1.0
5.107 0.000 0.119
0.000 3.833 0.000
-1.506 0.000 3.504
Ir Be Mn
2 2 2
Cartesian
1.483 0.334 0.585
3.243 2.250 1.342
0.190 2.250 0.029
-0.569 0.334 1.778
2.410 0.334 3.059
0.811 2.250 2.372
```

Results
formation enthalpy at 0 K: -0.3819 eV/atom
SG: Cmcm
total magnetic moment: 0.0 μB/f.u.

No. 3
# MnBe2Ir

An optimized crystal structure of MnBe2Ir (PBE, Alexandria via LeMat-Bulk).

Geometry as POSCAR:
```
MnBe2Ir
1.0
2.579 -0.011 0.000
-1.124 2.322 0.000
0.000 0.000 7.719
Ir Be Mn
1 2 1
Cartesian
0.000 0.000 3.732
0.000 0.000 0.052
0.728 1.155 1.850
0.728 1.155 5.944
```

Results
formation enthalpy at 0 K: 0.1570 eV/atom
SG: Cmm2
total magnetic moment: 1.9 μB/f.u.

No. 4
# MnBeMoIr

An optimized crystal structure of MnBeMoIr (PBE, Alexandria via LeMat-Bulk).

Geometry as POSCAR:
```
MnBeMoIr
1.0
-0.212 2.127 3.567
-0.735 -1.999 3.572
3.023 -0.379 2.831
Mo Be Mn Ir
1 1 1 1
Cartesian
1.038 -0.125 4.985
0.519 -0.063 2.493
1.557 -0.188 7.478
0.000 0.000 0.000
```

Results
formation enthalpy at 0 K: -0.0922 eV/atom
SG: F-43m
total magnetic moment: 1.7 μB/f.u.

No. 5
# MnBeNiIr

An optimized crystal structure of MnBeNiIr (PBE, Alexandria via LeMat-Bulk).

Geometry as POSCAR:
```
MnBeNiIr
1.0
-3.779 -0.281 1.433
-2.528 -2.794 -1.488
-1.073 -3.177 2.273
Mn Ni Be Ir
1 1 1 1
Cartesian
-3.690 -3.126 1.109
-1.845 -1.563 0.554
0.000 0.000 0.000
-5.535 -4.689 1.663
```

Results
formation enthalpy at 0 K: -0.2545 eV/atom
SG: F-43m
total magnetic moment: 3.9 μB/f.u.

No. 6
# MnBe2IrPd

An optimized crystal structure of MnBe2IrPd (PBE, Alexandria via LeMat-Bulk).

Geometry as POSCAR:
```
MnBe2IrPd
1.0
-2.955 -0.307 -2.754
-3.046 -1.057 3.385
-0.845 3.934 0.469
Ir Be Mn Pd
1 2 1 1
Cartesian
-3.423 1.285 0.550
-0.423 1.967 0.234
-1.477 -0.153 -1.377
-1.523 -0.529 1.693
0.000 0.000 0.000
```

Results
formation enthalpy at 0 K: 0.8111 eV/atom
SG: P4/mmm
total magnetic moment: 4.2 μB/f.u.

No. 7
# RbMnBe2Ir

An optimized crystal structure of RbMnBe2Ir (PBE, Alexandria via LeMat-Bulk).

Geometry as POSCAR:
```
RbMnBe2Ir
1.0
4.589 0.000 0.000
0.000 4.477 0.000
0.000 0.000 4.589
Be Ir Mn Rb
2 1 1 1
Cartesian
2.294 0.000 0.000
0.000 0.000 2.294
0.000 2.239 0.000
0.000 0.000 0.000
2.294 2.239 2.294
```

Results
formation enthalpy at 0 K: 1.0453 eV/atom
SG: P4/mmm
total magnetic moment: 1.3 μB/f.u.

No. 8
# Mn2BeIrS

An optimized crystal structure of Mn2BeIrS (PBE, Alexandria via LeMat-Bulk).

Geometry as POSCAR:
```
Mn2BeIrS
1.0
-2.466 0.800 2.980
2.335 -2.224 2.530
2.111 3.220 0.883
Mn Ir S Be
2 1 1 1
Cartesian
-1.233 0.400 1.490
1.055 1.610 0.441
1.168 -1.112 1.265
0.990 0.898 3.196
0.000 0.000 0.000
```

Results
electronic total energy: -30.2 eV/cell
SG: P4/mmm
total magnetic moment: 0.0 μB/f.u.

No. 9
# ScMn2BeIr

An optimized crystal structure of ScMn2BeIr (PBE, Alexandria via LeMat-Bulk).

Geometry as POSCAR:
```
ScMn2BeIr
1.0
3.902 0.000 0.000
0.000 4.444 0.000
0.000 0.000 3.902
Mn Ir Sc Be
2 1 1 1
Cartesian
1.951 0.000 0.000
0.000 0.000 1.951
1.951 2.222 1.951
0.000 2.222 0.000
0.000 0.000 0.000
```

Results
formation enthalpy at 0 K: 0.5359 eV/atom
SG: P4/mmm
total magnetic moment: 0.0 μB/f.u.

No. 10
# MnBe2SiIr

An optimized crystal structure of MnBe2SiIr (PBE, Alexandria via LeMat-Bulk).

Geometry as POSCAR:
```
MnBe2SiIr
1.0
-0.077 3.563 1.620
-3.975 -0.606 1.145
1.211 -1.519 3.398
Be Ir Mn Si
2 1 1 1
Cartesian
-0.038 1.781 0.810
0.605 -0.759 1.699
-1.421 0.719 3.082
0.000 0.000 0.000
-1.988 -0.303 0.573
```

Results
electronic total energy: -26.9 eV/cell
SG: P4/mmm
total magnetic moment: 1.3 μB/f.u.

No. 11
# MnBeZnIr

An optimized crystal structure of MnBeZnIr (PBE, Alexandria via LeMat-Bulk).

Geometry as POSCAR:
```
MnBeZnIr
1.0
-4.800 -2.388 2.346
-1.509 -2.101 -5.226
3.007 -4.944 1.119
Zn Be Ir Mn
4 4 4 4
Cartesian
0.678 -4.830 0.120
-3.225 -3.552 0.733
-1.580 -3.408 -3.053
-2.476 -7.075 -1.320
-2.400 -1.194 1.173
1.503 -2.472 0.560
-1.651 -4.716 -0.880
-0.754 -1.050 -2.613
-1.722 -6.024 1.292
-3.980 -4.602 -1.880
-0.076 -5.881 -2.493
-0.825 -2.358 -0.440
-0.896 -3.666 1.733
0.749 -3.523 -2.053
0.000 0.000 0.000
-3.154 -2.244 -1.440
```

Results
formation enthalpy at 0 K: -0.1237 eV/atom
SG: F222
total magnetic moment: 3.2 μB/f.u.

No. 12
# MnBeZnIr

An optimized crystal structure of MnBeZnIr (PBE, Alexandria via LeMat-Bulk).

Geometry as POSCAR:
```
MnBeZnIr
1.0
3.650 0.000 0.000
0.000 2.819 0.000
0.000 0.000 9.837
Be Zn Ir Mn
2 2 2 2
Cartesian
1.825 1.409 8.316
1.825 0.000 3.398
0.000 0.000 4.817
0.000 1.409 9.735
0.000 0.000 7.478
0.000 1.409 2.559
1.825 1.409 5.959
1.825 0.000 1.040
```

Results
formation enthalpy at 0 K: -0.1574 eV/atom
SG: Amm2
total magnetic moment: 3.7 μB/f.u.